w:
Material: SnBiS2Br
Method: DFT, GGA-PBE
State: relaxed

Unit cell a=5.080 b=5.080 c=5.350 alpha=90.00 beta=90.00 gamma=90.00
Fractional coordinates of all 5 atoms:
1 Sn 0.000 0.000 0.000
2 Bi 0.500 0.500 0.500
3 S 0.000 0.500 0.000
4 S 0.500 0.000 0.000
5 Br 0.000 0.000 0.500

**SG**: P4/mmm (123)
**Magnetization**: 0.00 Bohr magnetons per cell

x:
Material: SnBiS2Br
Method: DFT, GGA-PBE
State: relaxed

Unit cell a=8.980 b=4.077 c=10.538 alpha=90.00 beta=109.85 gamma=90.00
Fractional coordinates of all 10 atoms:
1 Sn 0.015 0.250 0.176
2 Sn 0.985 0.750 0.824
3 Bi 0.459 0.750 0.325
4 Bi 0.541 0.250 0.675
5 S 0.160 0.750 0.102
6 S 0.314 0.250 0.417
7 S 0.686 0.750 0.583
8 S 0.840 0.250 0.898
9 Br 0.372 0.750 0.782
10 Br 0.628 0.250 0.218

**SG**: P2_1/m (11)
**Magnetization**: 0.00 Bohr magnetons per cell

Most stable: x. Least stable: w.

w:
Material: BiSb2Br
Method: DFT, GGA-PBE
State: relaxed

Unit cell a=5.419 b=5.419 c=5.419 alpha=60.00 beta=60.00 gamma=60.00
Fractional coordinates of all 4 atoms:
1 Bi 0.000 0.000 0.000
2 Sb 0.250 0.250 0.250
3 Sb 0.750 0.750 0.750
4 Br 0.500 0.500 0.500

**SG**: Fm-3m (225)
**Magnetization**: 0.00 Bohr magnetons per cell

x:
Material: BiSb2Br
Method: DFT, GGA-PBE
State: relaxed

Unit cell a=7.503 b=7.503 c=7.503 alpha=98.45 beta=98.45 gamma=134.92
Fractional coordinates of all 8 atoms:
1 Bi 0.000 0.000 0.000
2 Bi 0.750 0.250 0.500
3 Sb 0.070 0.625 0.945
4 Sb 0.375 0.320 0.445
5 Sb 0.680 0.125 0.055
6 Sb 0.875 0.930 0.555
7 Br 0.250 0.750 0.500
8 Br 0.500 0.500 0.000

**SG**: I-42d (122)
**Magnetization**: 0.00 Bohr magnetons per cell

Most stable: x. Least stable: w.

w:
Material: BiSb2Br2
Method: DFT, GGA-PBE
State: relaxed

Unit cell a=9.572 b=9.572 c=3.303 alpha=90.00 beta=90.00 gamma=90.00
Fractional coordinates of all 10 atoms:
1 Bi 0.000 0.000 0.000
2 Bi 0.500 0.500 0.000
3 Sb 0.209 0.291 0.500
4 Sb 0.291 0.791 0.500
5 Sb 0.709 0.209 0.500
6 Sb 0.791 0.709 0.500
7 Br 0.118 0.618 0.000
8 Br 0.382 0.118 0.000
9 Br 0.618 0.882 0.000
10 Br 0.882 0.382 0.000

**SG**: P4/mbm (127)
**Magnetization**: 0.00 Bohr magnetons per cell

x:
Material: BiSb2Br2
Method: DFT, GGA-PBE
State: relaxed

Unit cell a=11.712 b=11.712 c=11.712 alpha=160.06 beta=160.06 gamma=28.35
Fractional coordinates of all 5 atoms:
1 Bi 0.000 0.000 0.000
2 Sb 0.250 0.750 0.500
3 Sb 0.750 0.250 0.500
4 Br 0.426 0.426 0.000
5 Br 0.574 0.574 0.000

**SG**: I4/mmm (139)
**Magnetization**: 0.00 Bohr magnetons per cell

Most stable: x. Least stable: w.

w:
Material: BiSbTe2Br
Method: DFT, GGA-PBE
State: relaxed

Unit cell a=5.901 b=5.901 c=5.984 alpha=90.00 beta=90.00 gamma=90.00
Fractional coordinates of all 5 atoms:
1 Bi 0.000 0.000 0.000
2 Sb 0.000 0.000 0.500
3 Te 0.000 0.500 0.000
4 Te 0.500 0.000 0.000
5 Br 0.500 0.500 0.500

**SG**: P4/mmm (123)
**Magnetization**: 0.00 Bohr magnetons per cell

x:
Material: BiSbTe2Br
Method: DFT, GGA-PBE
State: relaxed

Unit cell a=5.634 b=5.634 c=5.497 alpha=90.00 beta=90.00 gamma=90.00
Fractional coordinates of all 5 atoms:
1 Bi 0.000 0.000 0.000
2 Sb 0.500 0.500 0.000
3 Te 0.000 0.500 0.500
4 Te 0.500 0.000 0.500
5 Br 0.500 0.500 0.500

**SG**: P4/mmm (123)
**Magnetization**: 0.00 Bohr magnetons per cell

Most stable: w. Least stable: x.

w:
Material: ScBi2Br
Method: DFT, GGA-PBE
State: relaxed

Unit cell a=5.427 b=5.427 c=5.427 alpha=60.00 beta=60.00 gamma=60.00
Fractional coordinates of all 4 atoms:
1 Sc 0.000 0.000 0.000
2 Bi 0.250 0.250 0.250
3 Bi 0.750 0.750 0.750
4 Br 0.500 0.500 0.500

**SG**: Fm-3m (225)
**Magnetization**: 0.00 Bohr magnetons per cell

x:
Material: ScBi2Br
Method: DFT, GGA-PBE
State: relaxed

Unit cell a=12.085 b=12.085 c=12.085 alpha=158.14 beta=158.14 gamma=31.10
Fractional coordinates of all 8 atoms:
1 Sc 0.000 0.000 0.000
2 Sc 0.750 0.250 0.500
3 Bi 0.089 0.625 0.964
4 Bi 0.375 0.339 0.464
5 Bi 0.661 0.125 0.036
6 Bi 0.875 0.911 0.536
7 Br 0.250 0.750 0.500
8 Br 0.500 0.500 0.000

**SG**: I-42d (122)
**Magnetization**: 0.00 Bohr magnetons per cell

Most stable: x. Least stable: w.

w:
Material: SiBi2Br
Method: DFT, GGA-PBE
State: relaxed

Unit cell a=7.552 b=7.552 c=7.552 alpha=121.24 beta=121.24 gamma=87.86
Fractional coordinates of all 8 atoms:
1 Si 0.000 0.000 0.000
2 Si 0.750 0.250 0.500
3 Bi 0.079 0.625 0.954
4 Bi 0.375 0.329 0.454
5 Bi 0.671 0.125 0.046
6 Bi 0.875 0.921 0.546
7 Br 0.250 0.750 0.500
8 Br 0.500 0.500 0.000

**SG**: I-42d (122)
**Magnetization**: 0.00 Bohr magnetons per cell

x:
Material: SiBi2Br
Method: DFT, GGA-PBE
State: relaxed

Unit cell a=5.256 b=5.256 c=5.256 alpha=60.00 beta=60.00 gamma=60.00
Fractional coordinates of all 4 atoms:
1 Si 0.000 0.000 0.000
2 Bi 0.250 0.250 0.250
3 Bi 0.750 0.750 0.750
4 Br 0.500 0.500 0.500

**SG**: Fm-3m (225)
**Magnetization**: 0.00 Bohr magnetons per cell

Most stable: w. Least stable: x.

w:
Material: Sn2BiBr6
Method: DFT, GGA-PBE
State: relaxed

Unit cell a=8.055 b=8.055 c=8.055 alpha=59.42 beta=59.42 gamma=59.42
Fractional coordinates of all 9 atoms:
1 Sn 0.000 0.000 0.000
2 Sn 0.161 0.161 0.161
3 Bi 0.774 0.774 0.774
4 Br 0.012 0.680 0.399
5 Br 0.148 0.570 0.875
6 Br 0.399 0.012 0.680
7 Br 0.570 0.875 0.148
8 Br 0.680 0.399 0.012
9 Br 0.875 0.148 0.570

**SG**: R3 (146)
**Magnetization**: 1.02 Bohr magnetons per cell

x:
Material: Sn2BiBr6
Method: DFT, GGA-PBE
State: relaxed

Unit cell a=7.647 b=7.647 c=10.816 alpha=104.16 beta=104.16 gamma=35.81
Fractional coordinates of all 9 atoms:
1 Sn 0.179 0.179 0.330
2 Sn 0.821 0.821 0.670
3 Bi 0.500 0.500 0.000
4 Br 0.133 0.133 0.032
5 Br 0.180 0.180 0.601
6 Br 0.463 0.463 0.719
7 Br 0.537 0.537 0.281
8 Br 0.820 0.820 0.399
9 Br 0.867 0.867 0.968

**SG**: C2/m (12)
**Magnetization**: 0.00 Bohr magnetons per cell

Most stable: x. Least stable: w.

w:
Material: SnBiBr2
Method: DFT, GGA-PBE
State: relaxed

Unit cell a=3.825 b=3.831 c=12.175 alpha=81.15 beta=81.14 gamma=60.06
Fractional coordinates of all 4 atoms:
1 Sn 0.000 0.000 0.000
2 Bi 0.504 0.495 0.500
3 Br 0.279 0.280 0.166
4 Br 0.721 0.720 0.834

**SG**: P1 (1)
**Magnetization**: 0.00 Bohr magnetons per cell

x:
Material: SnBiBr2
Method: DFT, GGA-PBE
State: relaxed

Unit cell a=6.964 b=6.964 c=6.964 alpha=104.29 beta=104.29 gamma=120.41
Fractional coordinates of all 8 atoms:
1 Sn 0.000 0.000 0.000
2 Sn 0.750 0.250 0.500
3 Bi 0.250 0.750 0.500
4 Bi 0.500 0.500 0.000
5 Br 0.121 0.625 0.996
6 Br 0.375 0.371 0.496
7 Br 0.629 0.125 0.004
8 Br 0.875 0.879 0.504

**SG**: I-42d (122)
**Magnetization**: 0.00 Bohr magnetons per cell

Most stable: w. Least stable: x.

w:
Material: SnBiBr2
Method: DFT, GGA-PBE
State: relaxed

Unit cell a=10.845 b=10.845 c=10.845 alpha=19.37 beta=19.37 gamma=19.37
Fractional coordinates of all 4 atoms:
1 Sn 0.000 0.000 0.000
2 Bi 0.500 0.500 0.500
3 Br 0.410 0.410 0.410
4 Br 0.590 0.590 0.590

**SG**: R-3m (166)
**Magnetization**: 0.00 Bohr magnetons per cell

x:
Material: SnBiBr2
Method: DFT, GGA-PBE
State: relaxed

Unit cell a=5.450 b=5.450 c=5.450 alpha=60.00 beta=60.00 gamma=60.00
Fractional coordinates of all 4 atoms:
1 Sn 0.000 0.000 0.000
2 Bi 0.500 0.500 0.500
3 Br 0.250 0.250 0.250
4 Br 0.750 0.750 0.750

**SG**: Fm-3m (225)
**Magnetization**: 0.00 Bohr magnetons per cell

Most stable: w. Least stable: x.

w:
Material: SnBiBr
Method: DFT, GGA-PBE
State: relaxed

Unit cell a=4.394 b=4.794 c=9.883 alpha=91.44 beta=90.03 gamma=90.03
Fractional coordinates of all 6 atoms:
1 Sn 0.246 0.430 0.238
2 Sn 0.754 0.570 0.762
3 Bi 0.249 0.777 0.515
4 Bi 0.751 0.223 0.485
5 Br 0.250 0.240 0.868
6 Br 0.750 0.760 0.132

**SG**: P-1 (2)
**Magnetization**: 0.00 Bohr magnetons per cell

x:
Material: SnBiBr
Method: DFT, GGA-PBE
State: relaxed

Unit cell a=7.548 b=8.238 c=8.560 alpha=62.79 beta=77.66 gamma=78.96
Fractional coordinates of all 12 atoms:
1 Sn 0.000 0.000 0.000
2 Sn 0.022 0.472 0.981
3 Sn 0.472 0.293 0.301
4 Sn 0.593 0.815 0.395
5 Bi 0.365 0.120 0.099
6 Bi 0.701 0.774 0.029
7 Bi 0.776 0.426 0.368
8 Bi 0.996 0.052 0.343
9 Br 0.216 0.598 0.183
10 Br 0.273 0.655 0.595
11 Br 0.316 0.123 0.631
12 Br 0.778 0.340 0.840

**SG**: P1 (1)
**Magnetization**: 0.00 Bohr magnetons per cell

Most stable: w. Least stable: x.

w:
Material: SrBiBr3
Method: DFT, GGA-PBE
State: relaxed

Unit cell a=5.925 b=5.925 c=5.925 alpha=90.00 beta=90.00 gamma=90.00
Fractional coordinates of all 5 atoms:
1 Sr 0.000 0.000 0.000
2 Bi 0.500 0.500 0.500
3 Br 0.000 0.500 0.500
4 Br 0.500 0.000 0.500
5 Br 0.500 0.500 0.000

**SG**: Pm-3m (221)
**Magnetization**: 0.00 Bohr magnetons per cell

x:
Material: SrBiBr3
Method: DFT, GGA-PBE
State: relaxed

Unit cell a=5.929 b=5.929 c=5.929 alpha=90.00 beta=90.00 gamma=90.00
Fractional coordinates of all 5 atoms:
1 Sr 0.000 0.000 0.000
2 Bi 0.500 0.500 0.500
3 Br 0.000 0.000 0.500
4 Br 0.000 0.500 0.000
5 Br 0.500 0.000 0.000

**SG**: Pm-3m (221)
**Magnetization**: 2.00 Bohr magnetons per cell

Most stable: x. Least stable: w.

w:
Material: SrBiBr2
Method: DFT, GGA-PBE
State: relaxed

Unit cell a=12.446 b=12.446 c=12.446 alpha=18.77 beta=18.77 gamma=18.77
Fractional coordinates of all 4 atoms:
1 Sr 0.000 0.000 0.000
2 Bi 0.500 0.500 0.500
3 Br 0.384 0.384 0.384
4 Br 0.616 0.616 0.616

**SG**: R-3m (166)
**Magnetization**: 0.00 Bohr magnetons per cell

x:
Material: SrBiBr2
Method: DFT, GGA-PBE
State: relaxed

Unit cell a=5.606 b=5.606 c=5.606 alpha=60.00 beta=60.00 gamma=60.00
Fractional coordinates of all 4 atoms:
1 Sr 0.000 0.000 0.000
2 Bi 0.500 0.500 0.500
3 Br 0.250 0.250 0.250
4 Br 0.750 0.750 0.750

**SG**: Fm-3m (225)
**Magnetization**: 0.00 Bohr magnetons per cell

y:
Material: SrBiBr2
Method: DFT, GGA-PBE
State: relaxed

Unit cell a=7.167 b=7.167 c=7.167 alpha=105.35 beta=105.35 gamma=118.06
Fractional coordinates of all 8 atoms:
1 Sr 0.000 0.000 0.000
2 Sr 0.750 0.250 0.500
3 Bi 0.250 0.750 0.500
4 Bi 0.500 0.500 0.000
5 Br 0.105 0.625 0.980
6 Br 0.375 0.355 0.480
7 Br 0.645 0.125 0.020
8 Br 0.875 0.895 0.520

**SG**: I-42d (122)
**Magnetization**: 0.00 Bohr magnetons per cell

Most stable: w. Least stable: x.